# 1
This record from Alexandria via LeMat-Bulk describes Ca2MgCd10 after structural relaxation. The functional is PBE-GGA.

```
Ca2MgCd10
1.0
-5.611 -2.421 -0.477
2.331 -1.929 -8.691
4.026 -9.982 3.295
Ca Mg Cd
4 2 20
Cartesian
1.085 -10.619 1.219 Ca
-0.338 -3.712 -7.092 Ca
1.020 -8.534 -4.133 Ca
-0.274 -5.797 -1.740 Ca
3.179 -5.955 -2.698 Mg
0.000 0.000 0.000 Mg
-3.079 -7.150 -0.277 Cd
3.825 -7.180 -5.596 Cd
-3.590 -3.957 -5.995 Cd
4.337 -10.374 0.122 Cd
-0.081 -7.470 1.443 Cd
0.828 -6.860 -7.317 Cd
-0.508 -2.617 -1.009 Cd
3.845 -10.459 -4.789 Cd
-1.356 -6.266 -4.957 Cd
-0.605 -9.028 -1.087 Cd
1.255 -11.714 -4.865 Cd
-3.098 -3.871 -1.084 Cd
2.103 -8.065 -0.916 Cd
1.351 -5.302 -4.786 Cd
3.088 -4.432 -7.076 Cd
-2.341 -9.899 1.202 Cd
1.816 -3.202 -2.818 Cd
-1.069 -11.129 -3.055 Cd
-1.356 -3.370 -3.805 Cd
2.103 -10.961 -2.068 Cd
```

# 2
This record from Alexandria via LeMat-Bulk describes Li4NdTl after structural relaxation. The functional is PBE-GGA.

```
Li4NdTl
1.0
-3.092 4.638 0.583
-5.590 -0.363 0.186
-2.713 0.974 4.806
Tl Nd Li
1 1 4
Cartesian
0.000 0.000 0.000 Tl
-2.849 1.312 1.394 Nd
-5.766 2.795 1.065 Li
-4.314 3.470 3.397 Li
-7.135 3.287 3.491 Li
-5.575 0.946 3.197 Li
```

# 3
This record from Alexandria via LeMat-Bulk describes CrCoAg2 after structural relaxation. The functional is PBE-GGA.

```
CrCoAg2
1.0
-2.018 0.488 -1.889
-0.015 -3.883 -0.986
-3.874 -0.971 3.887
Ag Co Cr
2 1 1
Cartesian
-0.023 -0.006 0.023 Ag
-1.914 -0.480 1.920 Ag
-1.985 -1.941 -0.466 Co
-3.922 -2.426 1.478 Cr
```

Number 1: V 633.1 Å³/cell, raw total energy -1.294 eV/atom, magnetization 0.0 μB/f.u.. Number 2: V 124.5 Å³/cell, raw total energy -2.577 eV/atom, magnetization 0.0 μB/f.u.. Number 3: V 62.7 Å³/cell, raw total energy -5.046 eV/atom, magnetization 5.6 μB/f.u..